The following is a PBE calculation of an optimized crystal structure of GdMgScTi, from Alexandria.

## Properties
D(E_F)   6.3 states/eV per cell
Density   4.8 g cm⁻³
E_form   0.140 eV per atom
Raw total energy   -29.3 eV for the cell shown

Cell lengths 5.124, 5.124, 5.124 Å; angles 60.00, 60.00, 60.00 degrees
Sites, in units of the cell vectors:
Gd 0.000 0.000 0.000
Mg 0.250 0.250 0.250
Sc 0.500 0.500 0.500
Ti 0.750 0.750 0.750